# Ca2ScBe, optimized geometry, DFT PBE
# Density, g/cm³: 2.14
# Raw total energy, eV/atom: -3.07
data_Ca2ScBe
_space_group_name_H-M_alt 'P m m m'
_space_group_IT_number 47
_space_group_name_Hall '-P 2 2'
_cell_length_a 4.2465
_cell_length_b 4.9081
_cell_length_c 5.0024
_cell_angle_alpha 90.00
_cell_angle_beta 90.00
_cell_angle_gamma 90.00
loop_
_atom_site_label
_atom_site_type_symbol
_atom_site_fract_x
_atom_site_fract_y
_atom_site_fract_z
Ca1 Ca 0.0000 0.0000 0.0000
Ca2 Ca 0.5000 0.5000 0.0000
Sc1 Sc 0.0000 0.5000 0.5000
Be1 Be 0.5000 0.0000 0.5000